Record 1
Density functional theory data (meta-GGA SCAN) for ErSiRh at its PBEsol-relaxed geometry.

a = 4.180 Å, b = 6.763 Å, c = 7.255 Å
α = 90.00°, β = 90.00°, γ = 90.00°
Fractional coordinates of all 12 atoms:
Er1 0.750 0.501 0.689
Er2 0.250 0.499 0.311
Er3 0.750 0.001 0.811
Er4 0.250 0.999 0.189
Si1 0.750 0.705 0.106
Si2 0.250 0.295 0.894
Si3 0.750 0.205 0.394
Si4 0.250 0.795 0.606
Rh1 0.250 0.154 0.569
Rh2 0.750 0.846 0.431
Rh3 0.250 0.654 0.931
Rh4 0.750 0.346 0.069

Computed properties:
Formation energy (no corrections): -1.19 eV per atom

---

Record 2
Density functional theory data (meta-GGA SCAN) for InPtN2 at its PBEsol-relaxed geometry.

a = 4.683 Å, b = 4.683 Å, c = 6.224 Å
α = 112.10°, β = 112.10°, γ = 90.00°
Fractional coordinates of all 8 atoms:
N1 0.346 0.875 0.250
N2 0.904 0.375 0.250
N3 0.125 0.096 0.750
N4 0.625 0.654 0.750
Pt1 0.250 0.750 0.500
Pt2 0.000 0.000 0.000
In1 0.750 0.250 0.500
In2 0.500 0.500 0.000

Computed properties:
Formation energy (no corrections): 0.72 eV per atom

---

Record 3
Density functional theory data (meta-GGA SCAN) for SmCdGa at its PBEsol-relaxed geometry.

a = 4.381 Å, b = 7.234 Å, c = 7.234 Å
α = 120.00°, β = 90.00°, γ = 90.00°
Fractional coordinates of all 9 atoms:
Sm1 0.500 0.578 0.000
Sm2 0.500 0.422 0.422
Sm3 0.500 0.000 0.578
Cd1 0.000 0.248 0.000
Cd2 0.000 0.752 0.752
Cd3 0.000 0.000 0.248
Ga1 0.000 0.333 0.667
Ga2 0.000 0.667 0.333
Ga3 0.500 0.000 0.000

Computed properties:
E: -1.14104 Ha/atom

---

Record 4
Density functional theory data (meta-GGA SCAN) for LiCa3C at its PBEsol-relaxed geometry.

a = 5.110 Å, b = 5.110 Å, c = 5.110 Å
α = 90.00°, β = 90.00°, γ = 90.00°
Fractional coordinates of all 5 atoms:
Ca1 0.000 0.500 0.000
Ca2 0.000 0.000 0.500
Ca3 0.500 0.000 0.000
C1 0.000 0.000 0.000
Li1 0.500 0.500 0.500

Computed properties:
E: -0.29927 Ha/atom

---

Record 5
Density functional theory data (meta-GGA SCAN) for MgCo2Pb at its PBEsol-relaxed geometry.

a = 3.293 Å, b = 4.014 Å, c = 5.171 Å
α = 90.00°, β = 108.57°, γ = 90.00°
Fractional coordinates of all 4 atoms:
Co1 0.176 0.000 0.352
Co2 0.062 0.500 0.125
Mg1 0.467 0.000 0.934
Pb1 0.784 0.500 0.569

Computed properties:
E: -1.04963 Ha/atom

---

Record 6
Density functional theory data (meta-GGA SCAN) for Zn2PSe at its PBEsol-relaxed geometry.

a = 2.516 Å, b = 4.984 Å, c = 6.081 Å
α = 114.19°, β = 101.94°, γ = 90.00°
Fractional coordinates of all 4 atoms:
P1 0.000 0.500 0.000
Se1 0.500 0.000 0.000
Zn1 0.725 0.725 0.449
Zn2 0.275 0.275 0.551

Computed properties:
Formation energy (no corrections): 0.38 eV per atom

---

Here are the calculated total magnetization numbers, same order: 0.00, 0.00, 0.00, 0.12, 0.80, 0.00 (μB/atom).
Here are the calculated DOS at the Fermi energy numbers, same order: 0.432, 0.466, 0.122, 0.675, 0.357, 0.265 (states/eV/atom).
Here are the calculated V numbers, same order: 205.11, 115.58, 198.56, 133.47, 64.79, 67.75 (Å³ per cell).